Pm4DyNi5: optimized geometry, PBE. Values from VASP.

The structure in Quantum ESPRESSO input format:
```
&SYSTEM
  ibrav = 0, nat = 10, ntyp = 3
/
ATOMIC_SPECIES
Pm 145.00 Pm.upf
Dy 162.50 Dy.upf
Ni 58.69 Ni.upf
ATOMIC_POSITIONS crystal
Pm 0.000 0.000 0.101
Pm 0.000 0.000 0.303
Pm 0.000 0.000 0.697
Pm 0.000 0.000 0.899
Dy 0.000 0.000 0.500
Ni 0.500 0.500 0.000
Ni 0.500 0.500 0.202
Ni 0.500 0.500 0.406
Ni 0.500 0.500 0.594
Ni 0.500 0.500 0.798
CELL_PARAMETERS angstrom
3.433 0.000 0.000
0.000 3.433 0.000
0.000 0.000 17.425
```

## Properties
As for the density of states at the Fermi level: 9.0 states/eV per cell. For the total energy, the calculation gives -5.533 eV/atom.

PmDy2Ni: optimized geometry, PBE. Values from VASP.

The structure in Quantum ESPRESSO input format:
```
&SYSTEM
  ibrav = 0, nat = 4, ntyp = 3
/
ATOMIC_SPECIES
Pm 145.00 Pm.upf
Dy 162.50 Dy.upf
Ni 58.69 Ni.upf
ATOMIC_POSITIONS crystal
Pm 0.000 0.000 0.000
Dy 0.112 0.112 0.112
Dy 0.888 0.888 0.888
Ni 0.500 0.500 0.500
CELL_PARAMETERS angstrom
1.791 1.034 10.457
-1.791 1.034 10.457
0.000 -2.067 10.457
```

## Properties
As for the density of states at the Fermi level: 6.4 states/eV per cell. Its energy relative to the lowest polymorph listed for this composition is 286 meV/atom.

PmDyNi: optimized geometry, PBE. Values from VASP.

The structure in Quantum ESPRESSO input format:
```
&SYSTEM
  ibrav = 0, nat = 3, ntyp = 3
/
ATOMIC_SPECIES
Pm 145.00 Pm.upf
Dy 162.50 Dy.upf
Ni 58.69 Ni.upf
ATOMIC_POSITIONS crystal
Pm 0.000 0.000 0.000
Dy 0.738 0.738 0.000
Ni 0.359 0.359 0.000
CELL_PARAMETERS angstrom
-1.724 1.724 6.295
1.724 -1.724 6.295
1.724 1.724 -6.295
```

## Properties
As for the density of states at the Fermi level: 3.3 states/eV per cell. Its energy relative to the lowest polymorph listed for this composition is 2 meV/atom.

PmDy2Ni: optimized geometry, PBE. Values from VASP.

The structure in Quantum ESPRESSO input format:
```
&SYSTEM
  ibrav = 0, nat = 4, ntyp = 3
/
ATOMIC_SPECIES
Pm 145.00 Pm.upf
Dy 162.50 Dy.upf
Ni 58.69 Ni.upf
ATOMIC_POSITIONS crystal
Pm 0.000 0.000 0.000
Dy 0.556 0.556 0.556
Dy 0.773 0.773 0.773
Ni 0.164 0.164 0.164
CELL_PARAMETERS angstrom
1.915 1.106 8.929
-1.915 1.106 8.929
0.000 -2.211 8.929
```

## Properties
As for the density of states at the Fermi level: 4.6 states/eV per cell. Its energy relative to the lowest polymorph listed for this composition is 113 meV/atom.

Pm2DyNi: optimized geometry, PBE. Values from VASP.

The structure in Quantum ESPRESSO input format:
```
&SYSTEM
  ibrav = 0, nat = 4, ntyp = 3
/
ATOMIC_SPECIES
Pm 145.00 Pm.upf
Dy 162.50 Dy.upf
Ni 58.69 Ni.upf
ATOMIC_POSITIONS crystal
Pm 0.000 0.000 0.192
Pm 0.000 0.000 0.808
Dy 0.500 0.500 0.500
Ni 0.500 0.500 0.000
CELL_PARAMETERS angstrom
3.550 0.000 0.000
0.000 3.550 0.000
0.000 0.000 8.621
```

## Properties
As for the density of states at the Fermi level: 6.8 states/eV per cell. Its energy relative to the lowest polymorph listed for this composition is 126 meV/atom.

PmDy2Ni: optimized geometry, PBE. Values from VASP.

The structure in Quantum ESPRESSO input format:
```
&SYSTEM
  ibrav = 0, nat = 4, ntyp = 3
/
ATOMIC_SPECIES
Pm 145.00 Pm.upf
Dy 162.50 Dy.upf
Ni 58.69 Ni.upf
ATOMIC_POSITIONS crystal
Pm 0.000 0.000 0.000
Dy 0.500 0.500 0.318
Dy 0.500 0.500 0.682
Ni 0.000 0.000 0.500
CELL_PARAMETERS angstrom
3.445 0.000 0.000
0.000 3.445 0.000
0.000 0.000 8.814
```

## Properties
As for the density of states at the Fermi level: 4.0 states/eV per cell. Its energy relative to the lowest polymorph listed for this composition is 52 meV/atom.

PmDyNi4: optimized geometry, PBE. Values from VASP.

The structure in Quantum ESPRESSO input format:
```
&SYSTEM
  ibrav = 0, nat = 6, ntyp = 3
/
ATOMIC_SPECIES
Pm 145.00 Pm.upf
Dy 162.50 Dy.upf
Ni 58.69 Ni.upf
ATOMIC_POSITIONS crystal
Pm 0.000 0.000 0.000
Dy 0.250 0.250 0.250
Ni 0.127 0.624 0.624
Ni 0.624 0.127 0.624
Ni 0.624 0.624 0.127
Ni 0.624 0.624 0.624
CELL_PARAMETERS angstrom
0.000 3.611 3.611
3.611 0.000 3.611
3.611 3.611 0.000
```

## Properties
As for the density of states at the Fermi level: 4.1 states/eV per cell. For the total energy, the calculation gives -5.808 eV/atom.

PmDyNi10: optimized geometry, PBE. Values from VASP.

The structure in Quantum ESPRESSO input format:
```
&SYSTEM
  ibrav = 0, nat = 12, ntyp = 3
/
ATOMIC_SPECIES
Pm 145.00 Pm.upf
Dy 162.50 Dy.upf
Ni 58.69 Ni.upf
ATOMIC_POSITIONS crystal
Pm 0.000 0.000 0.000
Dy 0.000 0.500 0.500
Ni 0.000 0.000 0.336
Ni 0.000 0.000 0.664
Ni 0.000 0.500 0.170
Ni 0.000 0.500 0.830
Ni 0.500 0.000 0.500
Ni 0.500 0.252 0.253
Ni 0.500 0.252 0.747
Ni 0.500 0.500 0.000
Ni 0.500 0.748 0.253
Ni 0.500 0.748 0.747
CELL_PARAMETERS angstrom
3.960 0.000 0.000
0.000 4.913 0.000
0.000 0.000 8.500
```

## Properties
As for the density of states at the Fermi level: 13.7 states/eV per cell. For the total energy, the calculation gives -5.906 eV/atom.

Number 1: calculated density 8.38 g/cm3. Number 2: calculated density 7.56 g/cm3. Number 3: calculated density 8.12 g/cm3. Number 4: calculated density 7.74 g/cm3. Number 5: calculated density 7.81 g/cm3. Number 6: calculated density 8.39 g/cm3. Number 7: calculated density 9.56 g/cm3. Number 8: calculated density 8.98 g/cm3.